## CoHgBr3 (PBEsol)

Data for crystalline CoHgBr3 at its relaxed geometry. Values from VASP.

Properties
Formation energy without anion corrections = 0.6775 eV/atom

The structure in Quantum ESPRESSO input format:
```
&SYSTEM
  ibrav = 0, nat = 5, ntyp = 3
/
ATOMIC_SPECIES
Co 58.93 Co.upf
Hg 200.59 Hg.upf
Br 79.90 Br.upf
CELL_PARAMETERS angstrom
5.396 0.000 0.000
0.000 5.396 0.000
0.000 0.000 5.396
ATOMIC_POSITIONS angstrom
Co 2.698 2.698 2.698
Hg 0.000 0.000 0.000
Br 0.000 0.000 2.698
Br 2.698 0.000 0.000
Br 0.000 2.698 0.000
```

## Ca3TeSe (PBEsol)

Data for crystalline Ca3TeSe at its relaxed geometry. Values from VASP.

Properties
Formation energy without anion corrections = -0.5478 eV/atom

The structure in Quantum ESPRESSO input format:
```
&SYSTEM
  ibrav = 0, nat = 5, ntyp = 3
/
ATOMIC_SPECIES
Ca 40.08 Ca.upf
Se 78.96 Se.upf
Te 127.60 Te.upf
CELL_PARAMETERS angstrom
-5.039 2.090 -1.735
1.456 -1.008 -5.444
-2.293 -5.233 0.356
ATOMIC_POSITIONS angstrom
Ca -1.147 -2.616 0.178
Se -2.938 -2.076 -3.411
Te 0.000 0.000 0.000
Ca 0.728 -0.504 -2.722
Ca -2.519 1.045 -0.867
```

## K2LiNdF6 (PBEsol)

Data for crystalline K2LiNdF6 at its relaxed geometry. Values from VASP.

Properties
Formation energy without anion corrections = -3.2649 eV/atom

The structure in Quantum ESPRESSO input format:
```
&SYSTEM
  ibrav = 0, nat = 10, ntyp = 4
/
ATOMIC_SPECIES
K 39.10 K.upf
F 19.00 F.upf
Nd 144.24 Nd.upf
Li 6.94 Li.upf
CELL_PARAMETERS angstrom
6.049 0.000 0.000
3.025 5.239 0.000
3.025 1.746 4.939
ATOMIC_POSITIONS angstrom
K 3.025 1.746 1.235
F 7.488 2.662 3.645
K 9.074 5.239 3.704
F 6.049 5.154 3.645
Nd 0.000 0.000 0.000
Li 6.049 3.493 2.470
F 7.488 4.323 1.295
F 4.610 4.323 1.295
F 6.049 1.831 1.295
F 4.610 2.662 3.645
```

no.,total moment (μB per atom),final energy (eV/atom)
1,0.50,-2.105
2,0.00,-3.303
3,0.00,-5.361